BaZnSb3: relaxed, GGA-PBE.

Calculated values
* N(E_F): 0.616 states/eV/atom
* energy above the most stable polymorph in this dataset: 0 meV per atom
* size of the total moment: 0.0 μB per cell
* space group: Pm-3m (221)
* raw total energy: -0.1206 hartree per atom

Cell lengths 5.410, 5.410, 5.410 Å; angles 90.00, 90.00, 90.00 degrees
Fractional coordinates of all 5 atoms:
Sb: 0.000 0.000 0.500
Sb: 0.000 0.500 0.000
Sb: 0.500 0.000 0.000
Zn: 0.000 0.000 0.000
Ba: 0.500 0.500 0.500

---

LaNd4Ga4: relaxed, GGA-PBE.

Calculated values
* N(E_F): 0.971 states/eV/atom
* size of the total moment: 0.0 μB per cell
* space group: P4_2/n (86)
* raw total energy: -0.1585 hartree per atom
* formation enthalpy at 0 K: -0.3003 eV per atom

Cell lengths 6.002, 9.044, 9.044 Å; angles 90.00, 90.00, 90.00 degrees
Fractional coordinates of all 18 atoms:
Ga: 0.869 0.621 0.276
Ga: 0.369 0.776 0.879
Ga: 0.869 0.379 0.724
Ga: 0.631 0.121 0.776
Ga: 0.369 0.224 0.121
Ga: 0.631 0.879 0.224
Ga: 0.131 0.276 0.379
Ga: 0.131 0.724 0.621
Nd: 0.359 0.416 0.835
Nd: 0.859 0.335 0.084
Nd: 0.859 0.665 0.916
Nd: 0.641 0.165 0.416
Nd: 0.641 0.835 0.584
Nd: 0.141 0.916 0.335
Nd: 0.141 0.084 0.665
Nd: 0.359 0.584 0.165
La: 0.000 0.000 0.000
La: 0.500 0.500 0.500

---

Mg2TiCrN4: relaxed, GGA-PBE.

Calculated values
* N(E_F): 0.347 states/eV/atom
* size of the total moment: 2.0 μB per cell
* space group: P2/m (10)
* raw total energy: -0.2835 hartree per atom

Cell lengths 3.000, 5.135, 5.289 Å; angles 109.05, 90.00, 90.00 degrees
Fractional coordinates of all 8 atoms:
N: 0.500 0.754 0.769
N: 0.500 0.246 0.231
N: 0.000 0.738 0.226
N: 0.000 0.262 0.774
Ti: 0.000 0.000 0.000
Mg: 0.000 0.500 0.500
Mg: 0.500 0.000 0.500
Cr: 0.500 0.500 0.000

---

Ta2AgIr: relaxed, GGA-PBE.

Calculated values
* N(E_F): 0.677 states/eV/atom
* size of the total moment: 0.0 μB per cell
* space group: P4/mmm (123)
* raw total energy: -0.3274 hartree per atom
* formation enthalpy at 0 K: -0.0551 eV per atom

Cell lengths 4.033, 4.034, 4.105 Å; angles 90.00, 90.00, 90.00 degrees
Fractional coordinates of all 4 atoms:
Ta: 0.000 0.000 0.000
Ta: 0.500 0.500 0.000
Ir: 0.000 0.500 0.500
Ag: 0.500 0.000 0.500

---

Dy3Si8Ir3: relaxed, GGA-PBE.

Calculated values
* N(E_F): 0.380 states/eV/atom
* energy above the most stable polymorph in this dataset: 81 meV per atom
* size of the total moment: 0.0 μB per cell
* space group: Immm (71)
* raw total energy: -0.2423 hartree per atom

Cell lengths 4.192, 7.772, 7.772 Å; angles 75.49, 74.35, 74.35 degrees
Fractional coordinates of all 14 atoms:
Ir: 0.000 0.224 0.776
Ir: 0.500 0.000 0.000
Ir: 0.000 0.776 0.224
Si: 0.372 0.340 0.916
Si: 0.168 0.204 0.461
Si: 0.628 0.084 0.660
Si: 0.372 0.916 0.340
Si: 0.832 0.796 0.539
Si: 0.628 0.660 0.084
Si: 0.168 0.461 0.204
Si: 0.832 0.539 0.796
Dy: 0.811 0.189 0.189
Dy: 0.189 0.811 0.811
Dy: 0.500 0.500 0.500

---

Sc4CoCuNi2: relaxed, GGA-PBE.

Calculated values
* N(E_F): 0.751 states/eV/atom
* size of the total moment: 0.0 μB per cell
* space group: R-3m (166)
* raw total energy: -0.2362 hartree per atom
* formation enthalpy at 0 K: -0.4146 eV per atom

Cell lengths 4.494, 4.494, 7.802 Å; angles 73.26, 73.26, 60.00 degrees
Fractional coordinates of all 8 atoms:
Sc: 0.873 0.873 0.382
Sc: 0.127 0.127 0.618
Sc: 0.378 0.378 0.865
Sc: 0.622 0.622 0.135
Ni: 0.751 0.751 0.747
Ni: 0.249 0.249 0.253
Co: 0.500 0.500 0.500
Cu: 0.000 0.000 0.000

---

Y3ThNi2: relaxed, GGA-PBE.

Calculated values
* N(E_F): 1.144 states/eV/atom
* size of the total moment: 0.0 μB per cell
* space group: C2/m (12)
* raw total energy: -0.2449 hartree per atom
* formation enthalpy at 0 K: -0.2691 eV per atom

Cell lengths 3.871, 8.424, 9.937 Å; angles 76.31, 78.77, 76.72 degrees
Fractional coordinates of all 12 atoms:
Ni: 0.232 0.592 0.944
Ni: 0.768 0.408 0.056
Ni: 0.231 0.088 0.449
Ni: 0.769 0.912 0.551
Y: 0.153 0.942 0.752
Y: 0.847 0.058 0.248
Y: 0.421 0.720 0.439
Y: 0.422 0.216 0.941
Y: 0.579 0.280 0.561
Y: 0.578 0.784 0.059
Th: 0.842 0.563 0.752
Th: 0.158 0.437 0.248

---

In3PdS: relaxed, GGA-PBE.

Calculated values
* N(E_F): 0.626 states/eV/atom
* energy above the most stable polymorph in this dataset: 537 meV per atom
* size of the total moment: 0.0 μB per cell
* space group: Pm-3m (221)
* raw total energy: -0.1133 hartree per atom

Cell lengths 5.192, 5.192, 5.192 Å; angles 90.00, 90.00, 90.00 degrees
Fractional coordinates of all 5 atoms:
Pd: 0.500 0.500 0.500
In: 0.500 0.000 0.000
In: 0.000 0.000 0.500
In: 0.000 0.500 0.000
S: 0.000 0.000 0.000

---

Sm3Cr4Ga2: relaxed, GGA-PBE.

Calculated values
* N(E_F): 1.201 states/eV/atom
* size of the total moment: 0.6 μB per cell
* space group: P-1 (2)
* raw total energy: -0.2343 hartree per atom
* formation enthalpy at 0 K: 0.1466 eV per atom

Cell lengths 4.445, 5.760, 8.209 Å; angles 111.21, 90.11, 112.65 degrees
Fractional coordinates of all 9 atoms:
Cr: 0.765 0.534 0.086
Cr: 0.915 0.831 0.397
Cr: 0.085 0.169 0.603
Cr: 0.235 0.466 0.914
Sm: 0.000 0.000 0.000
Sm: 0.601 0.203 0.347
Sm: 0.399 0.797 0.653
Ga: 0.296 0.594 0.251
Ga: 0.704 0.406 0.749

---

BaTaBe2: relaxed, GGA-PBE.

Calculated values
* N(E_F): 0.583 states/eV/atom
* energy above the most stable polymorph in this dataset: 493 meV per atom
* size of the total moment: 0.0 μB per cell
* space group: Cmmm (65)
* raw total energy: -0.1607 hartree per atom
* formation enthalpy at 0 K: 0.9351 eV per atom

Cell lengths 5.062, 5.062, 2.918 Å; angles 89.97, 89.97, 84.19 degrees
Fractional coordinates of all 4 atoms:
Be: 0.500 0.500 0.000
Be: 0.000 0.000 0.000
Ta: 0.500 0.000 0.500
Ba: 0.000 0.500 0.500

---

ScGa2Br8: relaxed, GGA-PBE.

Calculated values
* N(E_F): 0.408 states/eV/atom
* size of the total moment: 0.6 μB per cell
* space group: C2/m (12)
* raw total energy: -0.1237 hartree per atom

Cell lengths 6.624, 8.156, 8.156 Å; angles 75.45, 83.33, 83.33 degrees
Fractional coordinates of all 11 atoms:
Br: 0.272 0.819 0.819
Br: 0.218 0.272 0.909
Br: 0.784 0.629 0.629
Br: 0.218 0.909 0.272
Br: 0.216 0.371 0.371
Br: 0.782 0.728 0.091
Br: 0.728 0.181 0.181
Br: 0.782 0.091 0.728
Ga: 0.350 0.193 0.193
Ga: 0.650 0.807 0.807
Sc: 0.000 0.000 0.000

---

SmPa2Mn: relaxed, GGA-PBE.

Calculated values
* N(E_F): 1.928 states/eV/atom
* size of the total moment: 0.0 μB per cell
* space group: R-3m (166)
* raw total energy: -0.2956 hartree per atom
* formation enthalpy at 0 K: 0.1755 eV per atom

Cell lengths 3.631, 3.631, 8.988 Å; angles 78.35, 78.35, 60.00 degrees
Fractional coordinates of all 4 atoms:
Pa: 0.275 0.275 0.174
Pa: 0.725 0.725 0.826
Mn: 0.000 0.000 0.000
Sm: 0.500 0.500 0.500

---

Which of these has the highest N(E_F)? SmPa2Mn